Computed, not measured: crystalline Hf2NiP at its relaxed geometry at the PBEsol level of DFT.

formation energy = -4.16 eV/f.u.
total magnetic moment = 0.0 μB/f.u.
symmetry = No. 11

Unit cell a=3.5578 b=5.1271 c=7.3270 alpha=109.77 beta=90.00 gamma=90.00
Closest atoms and distances in Å follow each position.
Fractional positions:
Hf 0.2500 0.2222 0.4287  4 Ni 2.63-2.78, 3 P 2.68-2.82
Hf 0.7500 0.7778 0.5713  4 Ni 2.63-2.78, 3 P 2.68-2.82
Hf 0.7500 0.2847 0.0752  4 P 2.65-2.78, 3 Ni 2.67-2.83
Hf 0.2500 0.7153 0.9248  4 P 2.65-2.78, 3 Ni 2.67-2.83
Ni 0.2500 0.6452 0.2912  2 P 2.27
Ni 0.7500 0.3548 0.7088  2 P 2.27
P 0.7500 0.8602 0.2102  2 Ni 2.27
P 0.2500 0.1398 0.7898  2 Ni 2.27